Below is crystalline Ca3Sn13Ir4 at its relaxed geometry, with properties calculated at the PBE level.

The structure belongs to space group Pm-3n (No. 223); the cell edges are 9.829, 9.829 and 9.829 Å and the angles 90.00°, 90.00° and 90.00°. Symmetry generates all atoms from Ca at (0.000, 0.250, 0.500), Sn at (0.000, 0.000, 0.000), Sn at (0.000, 0.304, 0.152) and Ir at (0.250, 0.250, 0.250).

The raw total energy is -204.322 eV/cell. Its formation energy is -0.434 eV per atom.



Below is crystalline Nd3MgAg4 at its relaxed geometry, with properties calculated at the PBE level.

The structure belongs to space group P4/mmm (No. 123); the cell edges are 5.179, 5.179 and 7.378 Å and the angles 90.00°, 90.00° and 90.00°. Symmetry generates all atoms from Nd at (0.000, 0.000, 0.000), Nd at (0.000, 0.000, 0.500), Nd at (0.500, 0.500, 0.000), Mg at (0.500, 0.500, 0.500) and Ag at (0.000, 0.500, 0.263).

The raw total energy is -29.184 eV/cell. Its formation energy is -0.235 eV per atom.



Below is crystalline ThCuGe2Pd at its relaxed geometry, with properties calculated at the PBE level.

The structure belongs to space group I-4m2 (No. 119); the cell edges are 4.238, 4.238 and 10.364 Å and the angles 90.00°, 90.00° and 90.00°. Symmetry generates all atoms from Th at (0.000, 0.000, 0.000), Cu at (0.000, 0.500, 0.750), Ge at (0.000, 0.000, 0.379) and Pd at (0.000, 0.500, 0.250).

The raw total energy is -58.546 eV/cell. Its formation energy is -0.666 eV per atom.



Below is crystalline LiBe8Cu3 at its relaxed geometry, with properties calculated at the PBE level.

The structure belongs to space group P3m1 (No. 156); the cell edges are 4.2696, 4.2696 and 6.9395 Å and the angles 90.00°, 90.00° and 120.00°. Symmetry generates all atoms from Li at (0.0000, 0.0000, 0.0000), Be at (0.1662, 0.3324, 0.6881), Be at (0.3333, 0.6667, 0.4399), Be at (0.3333, 0.6667, 0.9386), Be at (0.5011, 0.0022, 0.1927), Cu at (0.0000, 0.0000, 0.3766), Cu at (0.6667, 0.3333, 0.4991) and Cu at (0.6667, 0.3333, 0.8855).

The raw total energy is -45.014 eV/cell. Its formation energy is -0.083 eV per atom.



Below is crystalline CuSbS6 at its relaxed geometry, with properties calculated at the PBE level.

The structure belongs to space group P-1 (No. 2); the cell edges are 3.987, 7.344 and 7.898 Å and the angles 108.45°, 98.86° and 100.01°. Symmetry generates all atoms from Cu at (0.000, 0.000, 0.000), Sb at (0.500, 0.500, 0.000), S at (0.107, 0.681, 0.240), S at (0.128, 0.967, 0.276) and S at (0.461, 0.247, 0.145).

For the formation energy without anion corrections, the calculation gives 0.042 eV/atom. The raw total energy is -32.649 eV/cell.



Below is crystalline KRb5Cd at its relaxed geometry, with properties calculated at the PBE level.

The structure belongs to space group P4/mmm (No. 123); the cell edges are 6.699, 6.699 and 11.727 Å and the angles 90.00°, 90.00° and 90.00°. Symmetry generates all atoms from K at (0.000, 0.000, 0.000), Rb at (0.000, 0.500, 0.312), Rb at (0.500, 0.500, 0.000) and Cd at (0.500, 0.500, 0.500).

The raw total energy is -6.705 eV/cell. Its formation energy is 0.021 eV per atom.



Below is crystalline LaTbHoPu at its relaxed geometry, with properties calculated at the PBE level.

The structure belongs to space group F-43m (No. 216); the cell edges are 7.995, 7.995 and 7.995 Å and the angles 90.00°, 90.00° and 90.00°. Symmetry generates all atoms from La at (0.000, 0.000, 0.000), Tb at (0.000, 0.000, 0.500), Ho at (0.250, 0.250, 0.750) and Pu at (0.250, 0.250, 0.250).

The raw total energy is -110.610 eV/cell. Its formation energy is 0.204 eV per atom.



Below is crystalline Sr4Te2SeBr at its relaxed geometry, with properties calculated at the PBE level.

The structure belongs to space group P2/m (No. 10); the cell edges are 7.916, 4.620 and 7.996 Å and the angles 90.00°, 109.58° and 90.00°. Symmetry generates all atoms from Sr at (0.240, 0.000, 0.237), Sr at (0.248, 0.500, 0.760), Te at (0.500, 0.000, 0.000), Te at (0.500, 0.500, 0.500), Se at (0.000, 0.500, 0.000) and Br at (0.000, 0.000, 0.500).

For the formation energy without anion corrections, the calculation gives -1.735 eV/atom. The raw total energy is -32.046 eV/cell.



For each record above, in turn, the calculated magnetic moment values are 0.000, 0.004, 0.000, 0.000, 0.000, 0.000, 30.172, 0.000 Bohr magnetons per cell.